NaMgCd2Ga: optimized geometry, GGA-PBE.

N(E_F): 0.39 states/eV per atom
Crystal system: tetragonal
Energy of formation from the pure elements: 0.246 eV/atom

a b c (Å): 5.1758 5.5392 5.1758
angles (deg): 90.00 90.00 90.00
Last column: nearest neighbours and their distance in Å.
Fractional positions:
Na: 0.0000 0.5000 0.0000  2 Ga 2.77
Cd: 0.0000 0.0000 0.5000  2 Ga 2.59
Cd: 0.5000 0.0000 0.0000  2 Ga 2.59
Ga: 0.0000 0.0000 0.0000  4 Cd 2.59, 2 Na 2.77
Mg: 0.5000 0.5000 0.5000  4 Na 3.66, 8 Cd 3.79